## KCrCo (GGA-PBE)

Data for a geometry-optimized KCrCo structure.

Summary:
* total DFT energy (no corrections): -30.47 eV for the cell shown
* D(E_F): 1.107 states/eV/atom
* total moment: 5.30 μB per cell
* space group: Imm2, No. 44
* energy relative to the lowest polymorph listed for this composition: 0.000 eV per atom
* energy of formation from the pure elements: 865 meV/atom

abc: 2.858 3.470 12.499
angles: 90.00 90.00 90.00
Atoms (fractional coordinates):
K  0.000  0.000  0.000
K  0.500  0.500  0.500
Cr  0.000  0.000  0.271
Cr  0.500  0.500  0.771
Co  0.000  0.000  0.713
Co  0.500  0.500  0.213



## RbInSi (GGA-PBE)

Data for a geometry-optimized RbInSi structure.

Summary:
* total DFT energy (no corrections): -9.11 eV for the cell shown
* D(E_F): 0.041 states/eV/atom
* total moment: 0.00 μB per cell
* energy relative to the elements, uncorrected: 0.01 eV per atom
* space group: P-6m2, No. 187

abc: 4.517 4.517 5.841
angles: 90.00 90.00 120.00
Atoms (fractional coordinates):
Rb  0.000  0.000  0.000
In  0.667  0.333  0.500
Si  0.333  0.667  0.500



## Tb12CeHo6 (GGA-PBE)

Data for a geometry-optimized Tb12CeHo6 structure.

Summary:
* total DFT energy (no corrections): -84.95 eV for the cell shown
* D(E_F): 1.926 states/eV/atom
* total moment: 1.66 μB per cell
* space group: R-3m, No. 166
* energy relative to the lowest polymorph listed for this composition: 0.061 eV per atom
* energy of formation from the pure elements: 211 meV/atom

abc: 8.688 8.688 8.688
angles: 99.38 99.38 99.38
Atoms (fractional coordinates):
Tb  0.000  0.257  0.743
Tb  0.000  0.743  0.257
Tb  0.149  0.149  0.422
Tb  0.149  0.422  0.149
Tb  0.257  0.000  0.743
Tb  0.257  0.743  0.000
Tb  0.422  0.149  0.149
Tb  0.578  0.851  0.851
Tb  0.743  0.000  0.257
Tb  0.743  0.257  0.000
Tb  0.851  0.578  0.851
Tb  0.851  0.851  0.578
Ce  0.500  0.500  0.500
Ho  0.164  0.603  0.603
Ho  0.397  0.397  0.836
Ho  0.397  0.836  0.397
Ho  0.603  0.164  0.603
Ho  0.603  0.603  0.164
Ho  0.836  0.397  0.397



## PmNdLuZr (GGA-PBE)

Data for a geometry-optimized PmNdLuZr structure.

Summary:
* total DFT energy (no corrections): -86.49 eV for the cell shown
* D(E_F): 2.060 states/eV/atom
* total moment: 6.96 μB per cell
* space group: F-43m, No. 216
* energy of formation from the pure elements: 241 meV/atom

abc: 7.836 7.836 7.836
angles: 90.00 90.00 90.00
Atoms (fractional coordinates):
Pm  0.000  0.000  0.000
Pm  0.000  0.500  0.500
Pm  0.500  0.000  0.500
Pm  0.500  0.500  0.000
Nd  0.250  0.250  0.250
Nd  0.250  0.750  0.750
Nd  0.750  0.250  0.750
Nd  0.750  0.750  0.250
Lu  0.000  0.000  0.500
Lu  0.000  0.500  0.000
Lu  0.500  0.000  0.000
Lu  0.500  0.500  0.500
Zr  0.250  0.250  0.750
Zr  0.250  0.750  0.250
Zr  0.750  0.250  0.250
Zr  0.750  0.750  0.750



## Pr5Y2Tm (GGA-PBE)

Data for a geometry-optimized Pr5Y2Tm structure.

Summary:
* total DFT energy (no corrections): -78.36 eV for the cell shown
* D(E_F): 1.334 states/eV/atom
* total moment: 0.00 μB per cell
* space group: C2/c, No. 15
* energy relative to the lowest polymorph listed for this composition: 0.248 eV per atom
* energy of formation from the pure elements: 265 meV/atom

abc: 13.531 13.531 6.612
angles: 91.31 91.31 152.35
Atoms (fractional coordinates):
Pr  0.124  0.493  0.999
Pr  0.124  0.876  0.750
Pr  0.161  0.355  0.683
Pr  0.355  0.161  0.183
Pr  0.493  0.124  0.499
Pr  0.507  0.876  0.501
Pr  0.645  0.839  0.817
Pr  0.839  0.645  0.317
Pr  0.876  0.124  0.250
Pr  0.876  0.507  0.001
Y  0.000  0.000  0.000
Y  0.000  0.000  0.500
Y  0.000  0.500  0.500
Y  0.500  0.000  0.000
Tm  0.457  0.543  0.250
Tm  0.543  0.457  0.750



## Cs2RbBr6N (GGA-PBE)

Data for a geometry-optimized Cs2RbBr6N structure.

Summary:
* total DFT energy (no corrections): -26.71 eV for the cell shown
* D(E_F): 0.000 states/eV/atom
* total moment: 0.00 μB per cell
* energy relative to the elements, uncorrected: -0.57 eV per atom
* space group: Fm-3m, No. 225

abc: 8.042 8.042 8.042
angles: 60.00 60.00 60.00
Atoms (fractional coordinates):
Cs  0.250  0.250  0.250
Cs  0.750  0.750  0.750
Rb  0.000  0.000  0.000
Br  0.288  0.288  0.712
Br  0.288  0.712  0.288
Br  0.288  0.712  0.712
Br  0.712  0.288  0.288
Br  0.712  0.288  0.712
Br  0.712  0.712  0.288
N  0.500  0.500  0.500



## Ni2IrOs (GGA-PBE)

Data for a geometry-optimized Ni2IrOs structure.

Summary:
* total DFT energy (no corrections): -62.61 eV for the cell shown
* D(E_F): 1.233 states/eV/atom
* total moment: 0.00 μB per cell
* space group: C2/m, No. 12
* energy relative to the lowest polymorph listed for this composition: 0.068 eV per atom
* energy of formation from the pure elements: 87 meV/atom

abc: 8.509 2.656 4.630
angles: 90.00 100.05 90.00
Atoms (fractional coordinates):
Ni  0.249  0.000  0.241
Ni  0.251  0.500  0.759
Ni  0.749  0.500  0.241
Ni  0.751  0.000  0.759
Ir  0.000  0.000  0.500
Ir  0.500  0.500  0.500
Os  0.000  0.500  0.000
Os  0.500  0.000  0.000



## LaBiPd3 (GGA-PBE)

Data for a geometry-optimized LaBiPd3 structure.

Summary:
* total DFT energy (no corrections): -25.14 eV for the cell shown
* D(E_F): 0.217 states/eV/atom
* total moment: 0.00 μB per cell
* space group: Pm-3m, No. 221
* energy relative to the lowest polymorph listed for this composition: 0.416 eV per atom
* energy of formation from the pure elements: -151 meV/atom

abc: 5.077 5.077 5.077
angles: 90.00 90.00 90.00
Atoms (fractional coordinates):
La  0.000  0.000  0.000
Bi  0.500  0.500  0.500
Pd  0.000  0.500  0.500
Pd  0.500  0.000  0.500
Pd  0.500  0.500  0.000



## KCS2Cl (GGA-PBE)

Data for a geometry-optimized KCS2Cl structure.

Summary:
* total DFT energy (no corrections): -18.56 eV for the cell shown
* D(E_F): 0.058 states/eV/atom
* total moment: 0.00 μB per cell
* energy relative to the elements, uncorrected: 0.37 eV per atom
* space group: P4/mmm, No. 123
* energy relative to the lowest polymorph listed for this composition: 0.000 eV per atom

abc: 4.018 4.018 8.070
angles: 90.00 90.00 90.00
Atoms (fractional coordinates):
K  0.000  0.000  0.000
C  0.500  0.500  0.500
S  0.000  0.500  0.500
S  0.500  0.000  0.500
Cl  0.500  0.500  0.000



## Dy4TlN (GGA-PBE)

Data for a geometry-optimized Dy4TlN structure.

Summary:
* total DFT energy (no corrections): -65.68 eV for the cell shown
* D(E_F): 0.675 states/eV/atom
* total moment: 0.00 μB per cell
* energy relative to the elements, uncorrected: -0.62 eV per atom
* space group: C2/c, No. 15

abc: 8.325 8.325 7.120
angles: 106.26 106.26 39.92
Atoms (fractional coordinates):
Dy  0.083  0.146  0.423
Dy  0.146  0.083  0.923
Dy  0.293  0.323  0.800
Dy  0.323  0.293  0.300
Dy  0.677  0.707  0.700
Dy  0.707  0.677  0.200
Dy  0.854  0.917  0.077
Dy  0.917  0.854  0.577
Tl  0.468  0.532  0.250
Tl  0.532  0.468  0.750
N  0.000  0.500  0.500
N  0.500  0.000  0.000



## InHPd3 (GGA-PBE)

Data for a geometry-optimized InHPd3 structure.

Summary:
* total DFT energy (no corrections): -38.51 eV for the cell shown
* D(E_F): 0.246 states/eV/atom
* total moment: 0.00 μB per cell
* space group: I-4m2, No. 119
* energy relative to the lowest polymorph listed for this composition: 0.924 eV per atom

abc: 10.172 10.172 10.172
angles: 152.69 152.69 39.01
Atoms (fractional coordinates):
In  0.000  0.000  0.000
In  0.750  0.250  0.500
H  0.137  0.637  0.500
H  0.363  0.863  0.500
Pd  0.356  0.356  0.000
Pd  0.372  0.127  0.245
Pd  0.644  0.644  0.000
Pd  0.873  0.119  0.245
Pd  0.873  0.628  0.755
Pd  0.881  0.127  0.755



## Co3TcH (GGA-PBE)

Data for a geometry-optimized Co3TcH structure.

Summary:
* total DFT energy (no corrections): -69.49 eV for the cell shown
* D(E_F): 1.019 states/eV/atom
* total moment: 3.18 μB per cell
* space group: P6_3/mmc, No. 194
* energy relative to the lowest polymorph listed for this composition: 0.000 eV per atom

abc: 5.137 5.137 4.151
angles: 90.00 90.00 120.00
Atoms (fractional coordinates):
Co  0.172  0.343  0.250
Co  0.172  0.828  0.250
Co  0.343  0.172  0.750
Co  0.657  0.828  0.250
Co  0.828  0.172  0.750
Co  0.828  0.657  0.750
Tc  0.333  0.667  0.750
Tc  0.667  0.333  0.250
H  0.000  0.000  0.000
H  0.000  0.000  0.500



What did the fourth record say?
## PmNdLuZr (GGA-PBE)

Data for a geometry-optimized PmNdLuZr structure.

Summary:
* total DFT energy (no corrections): -86.49 eV for the cell shown
* D(E_F): 2.060 states/eV/atom
* total moment: 6.96 μB per cell
* space group: F-43m, No. 216
* energy of formation from the pure elements: 241 meV/atom

abc: 7.836 7.836 7.836
angles: 90.00 90.00 90.00
Atoms (fractional coordinates):
Pm  0.000  0.000  0.000
Pm  0.000  0.500  0.500
Pm  0.500  0.000  0.500
Pm  0.500  0.500  0.000
Nd  0.250  0.250  0.250
Nd  0.250  0.750  0.750
Nd  0.750  0.250  0.750
Nd  0.750  0.750  0.250
Lu  0.000  0.000  0.500
Lu  0.000  0.500  0.000
Lu  0.500  0.000  0.000
Lu  0.500  0.500  0.500
Zr  0.250  0.250  0.750
Zr  0.250  0.750  0.250
Zr  0.750  0.250  0.250
Zr  0.750  0.750  0.750



Look up the total moment of the second one.
0.00 μB per cell



total moment of number 6 (Cs2RbBr6N)?
0.00 μB per cell



Which value of D(E_F) does entry 12 give?
1.019 states/eV/atom